(1)
LaGa3Pt | PBE-GGA | relaxed

```
5
Lattice="5.528 0.000 0.000 0.000 5.528 0.000 0.000 0.000 5.528" Properties=species:S:1:pos:R:3 pbc="T T T"
Ga 0.000 2.764 0.000
Ga 0.000 0.000 2.764
Ga 2.764 0.000 0.000
Pt 2.764 2.764 2.764
La 0.000 0.000 0.000
```

## Properties
ΔE to the lowest computed polymorph = 2.099 eV/atom
symmetry = Pm-3m
calculated formation energy = 1.256 eV per atom


(2)
ZrSc4Ta | PBE-GGA | relaxed

```
6
Lattice="0.000 4.085 4.085 4.085 0.000 4.085 4.085 4.085 0.000" Properties=species:S:1:pos:R:3 pbc="T T T"
Zr 0.000 0.000 0.000
Sc 3.076 5.095 5.095
Sc 5.095 5.095 3.076
Sc 5.095 3.076 5.095
Sc 3.076 3.076 3.076
Ta 6.128 6.128 6.128
```

## Properties
symmetry = F-43m
calculated formation energy = 0.522 eV per atom


(3)
CaAc2Au3 | PBE-GGA | relaxed

```
12
Lattice="-5.154 1.601 0.663 1.159 -5.287 -0.522 1.379 -0.994 13.122" Properties=species:S:1:pos:R:3 pbc="T T T"
Ca -0.032 -3.650 8.573
Ca -2.585 -1.030 4.690
Ac 0.689 -0.497 6.561
Ac -0.704 -3.166 2.176
Ac -1.913 -1.515 11.087
Ac 0.000 0.000 0.000
Au -0.366 -3.409 5.392
Au -2.934 -0.779 1.376
Au 1.032 -0.744 9.818
Au 0.347 -0.250 3.304
Au 0.317 -3.902 11.887
Au -2.251 -1.271 7.871
```

## Properties
ΔE to the lowest computed polymorph = 0.000 eV/atom
symmetry = P-3m1
calculated formation energy = -0.785 eV per atom


(4)
NbIn2Ge | PBE-GGA | relaxed

```
4
Lattice="0.000 3.540 3.540 3.540 0.000 3.540 3.540 3.540 0.000" Properties=species:S:1:pos:R:3 pbc="T T T"
Nb 3.540 3.540 3.540
Ge 0.000 0.000 0.000
In 1.770 1.770 1.770
In 5.311 5.311 5.311
```

## Properties
ΔE to the lowest computed polymorph = 0.097 eV/atom
symmetry = Fm-3m
calculated formation energy = 0.540 eV per atom


In order of appearance, DOS at the Fermi energy = 1.14; 2.22; 0.60; 0.75 states/eV/atom.
In order of appearance, VASP energy = -13.767; -42.595; -24.763; -18.003 eV/f.u..
In order of appearance, spin magnetization = 0.000; 0.604; 0.000; 0.594 μB per atom.